Entry 1:
## LiAlTe2N (PBE-GGA)

Data for a relaxed LiAlTe2N crystal.

Results
Offset from the most stable computed form (meV/atom): 811
Magnetic moment (μB/atom): 0.1328
Energy relative to the elements, uncorrected (eV per formula unit): 3.82
Total DFT energy (no corrections) (eV per atom): -3.2890

abc: 5.2463 5.2463 3.5454
angles: 90.00 90.00 90.00
Fractional coordinates of all 5 atoms:
Li  0.0000  0.0000  0.0000
Al  0.5000  0.5000  0.5000
Te  0.0000  0.5000  0.0000
Te  0.5000  0.0000  0.0000
N  0.0000  0.0000  0.5000

=====

Entry 2:
## Hf3Pd5Se12 (PBE-GGA)

Data for a relaxed Hf3Pd5Se12 crystal.

Results
Magnetic moment (μB/atom): 0.0000
Energy relative to the elements, uncorrected (eV per formula unit): -10.78
Total DFT energy (no corrections) (eV per atom): -5.4211

abc: 13.2909 13.2909 13.2909
angles: 109.47 109.47 109.47
Fractional coordinates of all 80 atoms:
Hf  0.1250  0.2500  0.3750
Hf  0.1250  0.3750  0.7500
Hf  0.2500  0.3750  0.1250
Hf  0.2500  0.8750  0.6250
Hf  0.3750  0.1250  0.2500
Hf  0.3750  0.7500  0.1250
Hf  0.6250  0.2500  0.8750
Hf  0.6250  0.8750  0.7500
Hf  0.7500  0.1250  0.3750
Hf  0.7500  0.6250  0.8750
Hf  0.8750  0.6250  0.2500
Hf  0.8750  0.7500  0.6250
Pd  0.0000  0.0000  0.0000
Pd  0.0000  0.0000  0.5000
Pd  0.0000  0.5000  0.0000
Pd  0.0000  0.5000  0.5000
Pd  0.1250  0.7500  0.8750
Pd  0.1250  0.8750  0.2500
Pd  0.2500  0.1250  0.8750
Pd  0.2500  0.6250  0.3750
Pd  0.3750  0.2500  0.6250
Pd  0.3750  0.6250  0.7500
Pd  0.5000  0.0000  0.0000
Pd  0.5000  0.0000  0.5000
Pd  0.5000  0.5000  0.0000
Pd  0.5000  0.5000  0.5000
Pd  0.6250  0.3750  0.2500
Pd  0.6250  0.7500  0.3750
Pd  0.7500  0.3750  0.6250
Pd  0.7500  0.8750  0.1250
Pd  0.8750  0.1250  0.7500
Pd  0.8750  0.2500  0.1250
Se  0.0478  0.2172  0.1352
Se  0.0478  0.3305  0.9126
Se  0.0821  0.7172  0.6695
Se  0.0821  0.8648  0.4126
Se  0.0874  0.6352  0.4179
Se  0.0874  0.9522  0.6695
Se  0.1352  0.0478  0.2172
Se  0.1352  0.5874  0.9179
Se  0.1695  0.2172  0.5821
Se  0.1695  0.4522  0.5874
Se  0.2172  0.1352  0.0478
Se  0.2172  0.5821  0.1695
Se  0.2828  0.3305  0.9179
Se  0.2828  0.4522  0.3648
Se  0.3305  0.9126  0.0478
Se  0.3305  0.9179  0.2828
Se  0.3648  0.2828  0.4522
Se  0.3648  0.5821  0.9126
Se  0.4126  0.0821  0.8648
Se  0.4126  0.8305  0.5478
Se  0.4179  0.0874  0.6352
Se  0.4179  0.8305  0.7828
Se  0.4522  0.3648  0.2828
Se  0.4522  0.5874  0.1695
Se  0.5478  0.4126  0.8305
Se  0.5478  0.6352  0.7172
Se  0.5821  0.1695  0.2172
Se  0.5821  0.9126  0.3648
Se  0.5874  0.1695  0.4522
Se  0.5874  0.9179  0.1352
Se  0.6352  0.4179  0.0874
Se  0.6352  0.7172  0.5478
Se  0.6695  0.0821  0.7172
Se  0.6695  0.0874  0.9522
Se  0.7172  0.5478  0.6352
Se  0.7172  0.6695  0.0821
Se  0.7828  0.4179  0.8305
Se  0.7828  0.8648  0.9522
Se  0.8305  0.5478  0.4126
Se  0.8305  0.7828  0.4179
Se  0.8648  0.4126  0.0821
Se  0.8648  0.9522  0.7828
Se  0.9126  0.0478  0.3305
Se  0.9126  0.3648  0.5821
Se  0.9179  0.1352  0.5874
Se  0.9179  0.2828  0.3305
Se  0.9522  0.6695  0.0874
Se  0.9522  0.7828  0.8648

=====

Entry 3:
## Hg2SbS3 (PBE-GGA)

Data for a relaxed Hg2SbS3 crystal.

Results
Magnetic moment (μB/atom): 0.0000
Energy relative to the elements, uncorrected (eV per formula unit): -0.25
Total DFT energy (no corrections) (eV per atom): -2.8936

abc: 6.9278 3.9859 9.9738
angles: 90.00 91.73 90.00
Fractional coordinates of all 12 atoms:
Hg  0.0822  0.2500  0.3298
Hg  0.2457  0.7500  0.0030
Hg  0.7543  0.2500  0.9970
Hg  0.9178  0.7500  0.6702
Sb  0.4116  0.2500  0.6691
Sb  0.5884  0.7500  0.3309
S  0.0973  0.2500  0.8178
S  0.2549  0.7500  0.4975
S  0.4210  0.2500  0.1814
S  0.5790  0.7500  0.8186
S  0.7451  0.2500  0.5025
S  0.9027  0.7500  0.1822

=====

Entry 4:
## CaTcTe4 (PBE-GGA)

Data for a relaxed CaTcTe4 crystal.

Results
Magnetic moment (μB/atom): 0.7087
Energy relative to the elements, uncorrected (eV per formula unit): 3.71
Total DFT energy (no corrections) (eV per atom): -3.5374

abc: 6.3507 6.3507 6.3507
angles: 60.00 60.00 60.00
Fractional coordinates of all 6 atoms:
Ca  0.0000  0.0000  0.0000
Tc  0.7500  0.7500  0.7500
Te  0.3756  0.3756  0.3756
Te  0.3756  0.3756  0.8732
Te  0.3756  0.8732  0.3756
Te  0.8732  0.3756  0.3756

=====

Entry 5:
## SrPaIn2O8 (PBE-GGA)

Data for a relaxed SrPaIn2O8 crystal.

Results
Magnetic moment (μB/atom): 0.2204
Energy relative to the elements, uncorrected (eV per formula unit): -21.65
Total DFT energy (no corrections) (eV per atom): -6.4973

abc: 6.3386 6.3386 6.3386
angles: 111.32 111.32 105.84
Fractional coordinates of all 12 atoms:
Sr  0.0000  0.0000  0.0000
Pa  0.7500  0.2500  0.5000
In  0.2500  0.7500  0.5000
In  0.5000  0.5000  0.0000
O  0.0266  0.3701  0.3435
O  0.0266  0.6831  0.6565
O  0.1014  0.3009  0.8005
O  0.3169  0.9734  0.3435
O  0.5005  0.3009  0.1995
O  0.6299  0.9734  0.6565
O  0.6991  0.4995  0.8005
O  0.6991  0.8986  0.1995

=====

Entry 6:
## ThPd3Rh (PBE-GGA)

Data for a relaxed ThPd3Rh crystal.

Results
Magnetic moment (μB/atom): 0.0000
Energy of formation (eV per atom): -0.628
Total DFT energy (no corrections) (eV per atom): -6.6978

abc: 4.4344 5.3795 8.0233
angles: 91.07 105.99 90.02
Fractional coordinates of all 10 atoms:
Th  0.1369  0.2277  0.2753
Th  0.8631  0.7723  0.7247
Pd  0.0594  0.7344  0.1187
Pd  0.3370  0.1874  0.6736
Pd  0.5000  0.0000  0.0000
Pd  0.5000  0.5000  0.0000
Pd  0.6630  0.8126  0.3264
Pd  0.9406  0.2656  0.8813
Rh  0.2502  0.6678  0.5003
Rh  0.7498  0.3322  0.4997

=====

Entry 7:
## TmBeRh (PBE-GGA)

Data for a relaxed TmBeRh crystal.

Results
Offset from the most stable computed form (meV/atom): 33
Magnetic moment (μB/atom): 0.0000
Energy of formation (eV per atom): -0.631
Total DFT energy (no corrections) (eV per atom): -5.8139

abc: 3.9087 3.9087 3.8786
angles: 90.00 90.00 120.00
Fractional coordinates of all 3 atoms:
Tm  0.0000  0.0000  0.0000
Be  0.3333  0.6667  0.5000
Rh  0.6667  0.3333  0.5000

=====

Entry 8:
## TbPmLu2 (PBE-GGA)

Data for a relaxed TbPmLu2 crystal.

Results
Offset from the most stable computed form (meV/atom): 0
Magnetic moment (μB/atom): 0.0001
Energy of formation (eV per atom): 0.026
Total DFT energy (no corrections) (eV per atom): -4.5793

abc: 11.6076 11.6076 11.6076
angles: 17.54 17.54 17.54
Fractional coordinates of all 4 atoms:
Tb  0.0000  0.0000  0.0000
Pm  0.5000  0.5000  0.5000
Lu  0.2507  0.2507  0.2507
Lu  0.7493  0.7493  0.7493

=====

Entry 9:
## Cs2BAsO (PBE-GGA)

Data for a relaxed Cs2BAsO crystal.

Results
Magnetic moment (μB/atom): 0.0000
Energy relative to the elements, uncorrected (eV per formula unit): -4.97
Total DFT energy (no corrections) (eV per atom): -4.5925

abc: 7.3661 3.7065 10.6323
angles: 90.00 108.44 90.00
Fractional coordinates of all 10 atoms:
Cs  0.2065  0.2500  0.4000
Cs  0.2584  0.7500  0.0511
Cs  0.7416  0.2500  0.9489
Cs  0.7935  0.7500  0.6000
B  0.2023  0.2500  0.7644
B  0.7977  0.7500  0.2356
As  0.3318  0.7500  0.7196
As  0.6682  0.2500  0.2804
O  0.0589  0.2500  0.8148
O  0.9411  0.7500  0.1852

=====

Entry 10:
## KRbNiCl6 (PBE-GGA)

Data for a relaxed KRbNiCl6 crystal.

Results
Magnetic moment (μB/atom): 0.0000
Energy relative to the elements, uncorrected (eV per formula unit): -9.41
Total DFT energy (no corrections) (eV per atom): -3.1479

abc: 7.3289 7.3289 6.5052
angles: 90.00 90.00 120.00
Fractional coordinates of all 9 atoms:
K  0.0000  0.0000  0.0000
Rb  0.6667  0.3333  0.5000
Ni  0.3333  0.6667  0.0000
Cl  0.0836  0.4178  0.2021
Cl  0.0836  0.6658  0.7979
Cl  0.3342  0.4178  0.7979
Cl  0.3342  0.9164  0.2021
Cl  0.5822  0.6658  0.2021
Cl  0.5822  0.9164  0.7979

=====

Entry 11:
## Tb2PmDy2Y6 (PBE-GGA)

Data for a relaxed Tb2PmDy2Y6 crystal.

Results
Magnetic moment (μB/atom): 0.0000
Energy of formation (eV per atom): 0.153
Total DFT energy (no corrections) (eV per atom): -5.4834

abc: 6.6602 6.6602 10.5508
angles: 90.03 90.03 129.29
Fractional coordinates of all 11 atoms:
Tb  0.1342  0.8658  0.0000
Tb  0.8658  0.1342  0.0000
Pm  0.5000  0.5000  0.5000
Dy  0.2054  0.7946  0.5000
Dy  0.7946  0.2054  0.5000
Y  0.0010  0.0010  0.2904
Y  0.3463  0.6518  0.7955
Y  0.3482  0.6537  0.2045
Y  0.6518  0.3463  0.7955
Y  0.6537  0.3482  0.2045
Y  0.9990  0.9990  0.7096

=====

Entry 12:
## KSr2P (PBE-GGA)

Data for a relaxed KSr2P crystal.

Results
Magnetic moment (μB/atom): 0.0325
Energy of formation (eV per atom): -0.057
Total DFT energy (no corrections) (eV per atom): -2.5251

abc: 6.6125 6.6125 6.6125
angles: 136.77 136.77 62.79
Fractional coordinates of all 4 atoms:
K  0.0000  0.0000  0.0000
Sr  0.5000  0.5000  0.0000
Sr  0.7500  0.2500  0.5000
P  0.2500  0.7500  0.5000